P.
VASP calculation (PBE) on a relaxed structure of Tb2In2O5.

Cell and atoms, written as POSCAR:
```
Tb2In2O5
1.0
-3.548 2.238 -7.585
-1.967 -3.542 -0.125
-3.132 1.670 1.958
In O Tb
2 5 2
direct
0.000 0.000 0.000
0.500 0.000 0.000
0.152 0.500 0.000
0.848 0.500 0.000
0.152 0.000 0.500
0.848 0.000 0.500
0.500 0.500 0.500
0.246 0.500 0.500
0.754 0.500 0.500
```

Q.
VASP calculation (PBE) on a relaxed structure of Tb2In2O5.

Cell and atoms, written as POSCAR:
```
Tb2In2O5
1.0
7.062 0.000 0.000
0.000 4.178 0.000
0.000 0.000 4.178
In O Tb
2 5 2
direct
0.201 0.500 0.500
0.799 0.500 0.500
0.239 0.500 0.000
0.761 0.500 0.000
0.239 0.000 0.500
0.761 0.000 0.500
0.500 0.500 0.500
0.000 0.000 0.000
0.500 0.000 0.000
```

The energy of each structure relative to the most stable one, in eV/atom, is as follows: P 0.000; Q 0.347.

P.
VASP calculation (PBE) on a relaxed structure of Zn2In2O5.

Cell and atoms, written as POSCAR:
```
Zn2In2O5
1.0
8.223 0.000 0.000
0.000 3.871 0.000
0.000 0.000 3.871
In O Zn
2 5 2
direct
0.242 0.500 0.500
0.758 0.500 0.500
0.156 0.500 0.000
0.844 0.500 0.000
0.156 0.000 0.500
0.844 0.000 0.500
0.500 0.500 0.500
0.000 0.000 0.000
0.500 0.000 0.000
```

Q.
VASP calculation (PBE) on a relaxed structure of Zn2In2O5.

Cell and atoms, written as POSCAR:
```
Zn2In2O5
1.0
-7.623 0.982 -0.724
0.176 -1.253 -3.550
-0.569 -3.522 1.215
In O Zn
2 5 2
direct
0.000 0.000 0.000
0.500 0.000 0.000
0.175 0.500 0.000
0.825 0.500 0.000
0.175 0.000 0.500
0.825 0.000 0.500
0.500 0.500 0.500
0.239 0.500 0.500
0.761 0.500 0.500
```

The energy of each structure relative to the most stable one, in eV/atom, is as follows: P 0.185; Q 0.000.

P.
VASP calculation (PBE) on a relaxed structure of PaIn.

Cell and atoms, written as POSCAR:
```
PaIn
1.0
-0.749 -0.145 -3.099
-1.056 -2.249 2.004
-4.658 3.063 0.984
In Pa
1 1
direct
0.667 0.333 0.750
0.333 0.667 0.250
```

Q.
VASP calculation (PBE) on a relaxed structure of PaIn.

Cell and atoms, written as POSCAR:
```
PaIn
1.0
-1.583 -2.532 3.228
-4.296 0.064 0.939
-2.514 -3.477 -0.965
In Pa
1 1
direct
0.000 0.000 0.000
0.500 0.500 0.500
```

R.
VASP calculation (PBE) on a relaxed structure of PaIn.

Cell and atoms, written as POSCAR:
```
PaIn
1.0
-2.809 -3.936 -0.615
-0.533 -3.206 3.633
-4.261 -0.343 2.342
In Pa
1 1
direct
0.000 0.000 0.000
0.250 0.250 0.250
```

The energy of each structure relative to the most stable one, in eV/atom, is as follows: P 0.000; Q 0.659; R 1.600.

P.
VASP calculation (PBE) on a relaxed structure of PaInSb.

Cell and atoms, written as POSCAR:
```
PaInSb
1.0
4.711 -1.168 1.475
0.798 -4.014 2.997
2.286 -4.133 -1.851
In Pa Sb
1 1 1
direct
0.000 0.000 0.000
0.250 0.250 0.250
0.750 0.750 0.750
```

Q.
VASP calculation (PBE) on a relaxed structure of PaInSb.

Cell and atoms, written as POSCAR:
```
PaInSb
1.0
0.000 3.622 3.622
3.622 0.000 3.622
3.622 3.622 0.000
In Pa Sb
1 1 1
direct
0.250 0.250 0.250
0.000 0.000 0.000
0.750 0.750 0.750
```

The energy of each structure relative to the most stable one, in eV/atom, is as follows: P 0.267; Q 0.000.

P.
VASP calculation (PBE) on a relaxed structure of PaInW.

Cell and atoms, written as POSCAR:
```
PaInW
1.0
0.000 3.356 3.356
3.356 0.000 3.356
3.356 3.356 0.000
In Pa W
1 1 1
direct
0.000 0.000 0.000
0.250 0.250 0.250
0.750 0.750 0.750
```

Q.
VASP calculation (PBE) on a relaxed structure of PaInW.

Cell and atoms, written as POSCAR:
```
PaInW
1.0
0.000 3.402 3.402
3.402 0.000 3.402
3.402 3.402 0.000
In Pa W
1 1 1
direct
0.250 0.250 0.250
0.000 0.000 0.000
0.750 0.750 0.750
```

The energy of each structure relative to the most stable one, in eV/atom, is as follows: P 0.000; Q 0.248.

P.
VASP calculation (PBE) on a relaxed structure of SrInPt2Pb.

Cell and atoms, written as POSCAR:
```
SrInPt2Pb
1.0
-3.889 -0.297 -2.902
2.760 -1.940 -3.500
-2.061 -9.703 3.754
In Pb Pt Sr
2 2 4 2
direct
0.000 0.500 0.114
0.500 0.000 0.886
0.000 0.000 0.500
0.500 0.500 0.500
0.000 0.000 0.000
0.500 0.500 0.000
0.000 0.500 0.364
0.500 0.000 0.636
0.500 0.000 0.227
0.000 0.500 0.773
```

Q.
VASP calculation (PBE) on a relaxed structure of SrInPt2Pb.

Cell and atoms, written as POSCAR:
```
SrInPt2Pb
1.0
4.924 0.000 0.000
0.000 4.698 0.000
-0.629 0.000 10.630
In Pb Pt Sr
2 2 4 2
direct
0.755 0.750 0.005
0.245 0.250 0.995
0.327 0.750 0.381
0.673 0.250 0.619
0.270 0.750 0.125
0.159 0.250 0.495
0.841 0.750 0.505
0.730 0.250 0.875
0.777 0.250 0.252
0.223 0.750 0.748
```

The energy of each structure relative to the most stable one, in eV/atom, is as follows: P 0.013; Q 0.000.